Below is a relaxed CoH2Ru crystal, with properties calculated at the PBE level.

Lattice parameters (Å, degrees): 2.723 2.723 13.930 90.00 90.00 120.00
Fractional positions:
Co: 0.000 0.000 0.000
Co: 0.333 0.667 0.667
Co: 0.667 0.333 0.333
H: 0.000 0.000 0.603
H: 0.000 0.000 0.762
H: 0.333 0.667 0.270
H: 0.333 0.667 0.428
H: 0.667 0.333 0.095
H: 0.667 0.333 0.936
Ru: 0.000 0.000 0.180
Ru: 0.333 0.667 0.846
Ru: 0.667 0.333 0.513

## Properties
Magnetic moment in Bohr magnetons per cell: 0.03
DFT total energy in eV per atom: -5.5614
Mass density in g cm⁻³: 9.0
Fermi-level density of states in states/eV/cell: 7.6
Energy above the most stable polymorph in this dataset in eV/f.u.: 0.04
Space-group type: R3m, No. 160